[1]
# Pr8Os3PtCl4

An optimized crystal structure of Pr8Os3PtCl4 (PBE, the Alexandria database).

POSCAR file:
```
Pr8Os3PtCl4
1.0
4.145 2.393 7.623
-4.145 2.393 7.623
0.000 -4.786 7.623
Pr Os Pt Cl
8 3 1 4
Direct
0.225 0.741 0.741 Pr
0.236 0.236 0.236 Pr
0.259 0.259 0.775 Pr
0.259 0.775 0.259 Pr
0.741 0.225 0.741 Pr
0.741 0.741 0.225 Pr
0.764 0.764 0.764 Pr
0.775 0.259 0.259 Pr
0.000 0.000 0.500 Os
0.000 0.500 0.000 Os
0.500 0.000 0.000 Os
0.500 0.500 0.500 Pt
0.000 0.000 0.000 Cl
0.000 0.500 0.500 Cl
0.500 0.000 0.500 Cl
0.500 0.500 0.000 Cl
```

Values from the calculation:
total magnetization	0.0	μB/f.u.
calculated volume	28.36	Å³ per atom
E_form (uncorrected)	-0.91	eV/atom
SG	R-3m (166)
crystal system	trigonal

---

[2]
# Pr4OsRhCl2

An optimized crystal structure of Pr4OsRhCl2 (PBE, the Alexandria database).

POSCAR file:
```
Pr4OsRhCl2
1.0
7.123 0.000 0.000
0.000 4.115 0.000
-2.365 0.000 7.652
Pr Os Rh Cl
4 1 1 2
Direct
0.232 0.000 0.208 Pr
0.260 0.500 0.795 Pr
0.740 0.500 0.205 Pr
0.768 0.000 0.792 Pr
0.000 0.500 0.000 Os
0.500 0.000 0.000 Rh
0.000 0.000 0.500 Cl
0.500 0.500 0.500 Cl
```

Values from the calculation:
total magnetization	0.0	μB/f.u.
calculated volume	28.04	Å³ per atom
E_form (uncorrected)	-0.96	eV/atom
SG	P2/m (10)
crystal system	monoclinic

---

[3]
# Pr8OsRh3Cl4

An optimized crystal structure of Pr8OsRh3Cl4 (PBE, the Alexandria database).

POSCAR file:
```
Pr8OsRh3Cl4
1.0
7.118 -4.111 0.000
7.118 4.111 0.000
-4.757 0.000 7.667
Pr Os Rh Cl
8 1 3 4
Direct
0.233 0.233 0.707 Pr
0.233 0.741 0.707 Pr
0.259 0.767 0.293 Pr
0.265 0.265 0.297 Pr
0.735 0.735 0.703 Pr
0.741 0.233 0.707 Pr
0.767 0.259 0.293 Pr
0.767 0.767 0.293 Pr
0.000 0.000 0.500 Os
0.000 0.500 0.500 Rh
0.500 0.000 0.500 Rh
0.500 0.500 0.500 Rh
0.000 0.000 0.000 Cl
0.000 0.500 0.000 Cl
0.500 0.000 0.000 Cl
0.500 0.500 0.000 Cl
```

Values from the calculation:
total magnetization	0.0	μB/f.u.
calculated volume	28.04	Å³ per atom
E_form (uncorrected)	-1.07	eV/atom
SG	C2/m (12)
crystal system	monoclinic

---

[4]
# Pr4OsS2Cl

An optimized crystal structure of Pr4OsS2Cl (PBE, the Alexandria database).

POSCAR file:
```
Pr4OsS2Cl
1.0
7.289 0.000 0.000
0.000 4.065 0.000
-2.209 0.000 6.979
Pr Os S Cl
4 1 2 1
Direct
0.243 0.000 0.225 Pr
0.255 0.500 0.766 Pr
0.745 0.500 0.234 Pr
0.757 0.000 0.775 Pr
0.500 0.000 0.000 Os
0.000 0.000 0.500 S
0.000 0.500 0.000 S
0.500 0.500 0.500 Cl
```

Values from the calculation:
total magnetization	0.0	μB/f.u.
calculated volume	25.85	Å³ per atom
E_form (uncorrected)	-1.31	eV/atom
SG	P2/m (10)
crystal system	monoclinic

---

[5]
# Pr8Os3SCl4

An optimized crystal structure of Pr8Os3SCl4 (PBE, the Alexandria database).

POSCAR file:
```
Pr8Os3SCl4
1.0
4.170 2.407 7.505
-4.170 2.407 7.505
0.000 -4.815 7.505
Pr Os S Cl
8 3 1 4
Direct
0.223 0.741 0.741 Pr
0.237 0.237 0.237 Pr
0.259 0.259 0.777 Pr
0.259 0.777 0.259 Pr
0.741 0.223 0.741 Pr
0.741 0.741 0.223 Pr
0.763 0.763 0.763 Pr
0.777 0.259 0.259 Pr
0.000 0.000 0.500 Os
0.000 0.500 0.000 Os
0.500 0.000 0.000 Os
0.500 0.500 0.500 S
0.000 0.000 0.000 Cl
0.000 0.500 0.500 Cl
0.500 0.000 0.500 Cl
0.500 0.500 0.000 Cl
```

Values from the calculation:
total magnetization	0.0	μB/f.u.
calculated volume	28.25	Å³ per atom
E_form (uncorrected)	-1.00	eV/atom
SG	R-3m (166)
crystal system	trigonal

---

[6]
# Pr3OsSeCl

An optimized crystal structure of Pr3OsSeCl (PBE, the Alexandria database).

POSCAR file:
```
Pr3OsSeCl
1.0
8.878 0.000 0.000
0.000 3.941 0.000
-1.972 0.000 10.612
Pr Os Se Cl
6 2 2 2
Direct
0.092 0.250 0.384 Pr
0.183 0.750 0.900 Pr
0.392 0.750 0.640 Pr
0.608 0.250 0.360 Pr
0.817 0.250 0.100 Pr
0.908 0.750 0.616 Pr
0.161 0.250 0.692 Os
0.839 0.750 0.308 Os
0.352 0.750 0.363 Se
0.648 0.250 0.637 Se
0.141 0.250 0.102 Cl
0.859 0.750 0.898 Cl
```

Values from the calculation:
total magnetization	0.0	μB/f.u.
calculated volume	30.94	Å³ per atom
E_form (uncorrected)	-0.95	eV/atom
SG	P2_1/m (11)
crystal system	monoclinic

---

- Which value of calculated volume does entry 2 give?
  28.04 Å³ per atom

---

- Among the records above, which one has the highest E_form (uncorrected)?
  Pr8Os3PtCl4

---

- Among the records above, which one has the highest calculated volume?
  Pr3OsSeCl